HfCrSiF2: optimized geometry, GGA+U.

Cell lengths 3.997, 6.048, 3.997 Å; angles 90.00, 90.00, 90.00 degrees
Last column: magnetic moment on the atom in μB.
Positions (direct):
F (0.500, 0.000, 0.000)  -0.02
F (0.000, 0.000, 0.500)  0.00
Hf (0.000, 0.000, 0.000)  -0.12
Si (0.500, 0.500, 0.500)  -0.23
Cr (0.000, 0.500, 0.000)  3.89

## Properties
raw total energy = -6.50 eV/atom
space-group type = P4/mmm
calculated density = 5.10 Mg/m³